1.
The following is a DFT calculation (PBE-GGA) of a relaxed structure of AcIn5Pt.

The structure in POSCAR format:
```
AcIn5Pt
1.0
4.867 0.000 0.000
0.000 4.867 0.000
0.000 0.000 7.766
Ac In Pt
1 5 1
direct
0.000 0.000 0.000 Ac
0.000 0.500 0.307 In
0.000 0.500 0.693 In
0.500 0.000 0.307 In
0.500 0.000 0.693 In
0.500 0.500 0.000 In
0.000 0.000 0.500 Pt
```

Crystal system: tetragonal
SG: P4/mmm, No. 123
Total energy in eV per formula unit: -26.9

***

2.
The following is a DFT calculation (PBE-GGA) of a relaxed structure of AcInPt2.

The structure in POSCAR format:
```
AcInPt2
1.0
4.016 0.000 0.000
0.000 4.016 0.000
0.000 0.000 28.780
Ac In Pt
4 4 8
direct
0.209 0.710 0.000 Ac
0.290 0.209 0.250 Ac
0.710 0.791 0.750 Ac
0.791 0.290 0.500 Ac
0.208 0.220 0.883 In
0.220 0.792 0.633 In
0.780 0.208 0.133 In
0.792 0.780 0.383 In
0.208 0.293 0.697 Pt
0.211 0.286 0.792 Pt
0.286 0.789 0.542 Pt
0.293 0.792 0.447 Pt
0.707 0.208 0.947 Pt
0.714 0.211 0.042 Pt
0.789 0.714 0.292 Pt
0.792 0.707 0.197 Pt
```

Crystal system: tetragonal
SG: P4_1, No. 76
Total energy in eV per formula unit: -21.7

***

3.
The following is a DFT calculation (PBE-GGA) of a relaxed structure of AcInPt2.

The structure in POSCAR format:
```
AcInPt2
1.0
5.756 0.000 0.000
0.000 5.493 0.000
0.000 0.000 13.528
Ac In Pt
4 4 8
direct
0.250 0.000 0.078 Ac
0.250 0.500 0.400 Ac
0.750 0.000 0.922 Ac
0.750 0.500 0.600 Ac
0.250 0.000 0.801 In
0.250 0.500 0.823 In
0.750 0.000 0.199 In
0.750 0.500 0.177 In
0.000 0.000 0.500 Pt
0.000 0.500 0.000 Pt
0.250 0.257 0.634 Pt
0.250 0.743 0.634 Pt
0.500 0.000 0.500 Pt
0.500 0.500 0.000 Pt
0.750 0.257 0.366 Pt
0.750 0.743 0.366 Pt
```

Crystal system: orthorhombic
SG: Pmma, No. 51
Total energy in eV per formula unit: -21.2

***

4.
The following is a DFT calculation (PBE-GGA) of a relaxed structure of Ac3In8Pt3.

The structure in POSCAR format:
```
Ac3In8Pt3
1.0
8.797 -2.453 0.000
8.797 2.453 0.000
-5.671 0.000 8.230
Ac In Pt
3 8 3
direct
0.000 0.000 0.000 Ac
0.284 0.284 0.289 Ac
0.716 0.716 0.711 Ac
0.137 0.137 0.840 In
0.150 0.150 0.434 In
0.347 0.347 0.975 In
0.494 0.494 0.662 In
0.506 0.506 0.338 In
0.653 0.653 0.025 In
0.850 0.850 0.566 In
0.863 0.863 0.160 In
0.000 0.000 0.500 Pt
0.350 0.350 0.703 Pt
0.650 0.650 0.297 Pt
```

Crystal system: monoclinic
SG: C2/m, No. 12
Total energy in eV per formula unit: -60.5

***

5.
The following is a DFT calculation (PBE-GGA) of a relaxed structure of AcIn6Pt3.

The structure in POSCAR format:
```
AcIn6Pt3
1.0
10.200 0.000 0.000
0.000 4.479 0.000
-0.826 0.000 10.448
Ac In Pt
2 12 6
direct
0.089 0.250 0.234 Ac
0.911 0.750 0.766 Ac
0.117 0.750 0.490 In
0.146 0.250 0.925 In
0.273 0.750 0.761 In
0.344 0.750 0.295 In
0.361 0.250 0.559 In
0.445 0.250 0.082 In
0.555 0.750 0.918 In
0.639 0.750 0.441 In
0.656 0.250 0.705 In
0.727 0.250 0.239 In
0.854 0.750 0.075 In
0.883 0.250 0.510 In
0.121 0.250 0.659 Pt
0.286 0.750 0.028 Pt
0.492 0.250 0.345 Pt
0.508 0.750 0.655 Pt
0.714 0.250 0.972 Pt
0.879 0.750 0.341 Pt
```

Crystal system: monoclinic
SG: P2_1/m, No. 11
Total energy in eV per formula unit: -44.1

***

6.
The following is a DFT calculation (PBE-GGA) of a relaxed structure of AcInPt3.

The structure in POSCAR format:
```
AcInPt3
1.0
-2.155 2.155 6.050
2.155 -2.155 6.050
2.155 2.155 -6.050
Ac In Pt
1 1 3
direct
0.000 0.000 0.000 Ac
0.660 0.660 0.000 In
0.295 0.795 0.500 Pt
0.442 0.442 0.000 Pt
0.795 0.295 0.500 Pt
```

Crystal system: tetragonal
SG: I4mm, No. 107
Total energy in eV per formula unit: -28.7

***

7.
The following is a DFT calculation (PBE-GGA) of a relaxed structure of Ac8In2Pt.

The structure in POSCAR format:
```
Ac8In2Pt
1.0
10.204 -2.756 0.000
10.204 2.756 0.000
-1.379 0.000 7.450
Ac In Pt
8 2 1
direct
0.016 0.016 0.276 Ac
0.211 0.211 0.810 Ac
0.354 0.354 0.517 Ac
0.407 0.407 0.039 Ac
0.593 0.593 0.961 Ac
0.646 0.646 0.483 Ac
0.789 0.789 0.190 Ac
0.984 0.984 0.724 Ac
0.187 0.187 0.252 In
0.813 0.813 0.748 In
0.500 0.500 0.500 Pt
```

Crystal system: monoclinic
SG: C2/m, No. 12
Total energy in eV per formula unit: -48.0

***

8.
The following is a DFT calculation (PBE-GGA) of a relaxed structure of Ac2In5Pt4.

The structure in POSCAR format:
```
Ac2In5Pt4
1.0
0.000 6.045 7.529
3.045 0.000 7.529
3.045 6.045 0.000
Ac In Pt
2 5 4
direct
0.161 0.161 0.839 Ac
0.839 0.839 0.161 Ac
0.000 0.000 0.500 In
0.250 0.250 0.250 In
0.500 0.500 0.000 In
0.500 0.500 0.500 In
0.750 0.750 0.750 In
0.234 0.478 0.522 Pt
0.478 0.234 0.766 Pt
0.522 0.766 0.234 Pt
0.766 0.522 0.478 Pt
```

Crystal system: orthorhombic
SG: Fmmm, No. 69
Total energy in eV per formula unit: -53.1

***

Listing total moment for the structures above in their given order: 0.000, 0.000, 0.000, 0.000, 0.000, 0.000, 0.000, 0.000 μB per atom.